1.
VASP calculation (PBE) on a relaxed CdCuSbO4 crystal.

Cell: 5.675 5.675 6.815 Å, 90.00 90.00 114.75°
Positions (direct):
Cd1 0.000 0.000 0.000
Cd2 0.000 0.000 0.500
Cu1 0.312 0.688 0.750
Cu2 0.688 0.312 0.250
Sb1 0.356 0.644 0.250
Sb2 0.644 0.356 0.750
O1 0.245 0.755 0.014
O2 0.245 0.755 0.486
O3 0.257 0.271 0.250
O4 0.271 0.257 0.750
O5 0.729 0.743 0.250
O6 0.743 0.729 0.750
O7 0.755 0.245 0.514
O8 0.755 0.245 0.986

Summary:
Formation energy from raw total energies = -22.2 kcal/mol of atoms
Fermi-level density of states = 4.78 states/eV/cell
Calculated total energy = -5.100 eV/atom



2.
VASP calculation (PBE) on a relaxed UVAs2 crystal.

Cell: 6.685 6.685 6.685 Å, 131.09 131.09 71.67°
Positions (direct):
U1 0.375 0.625 0.750
U2 0.625 0.375 0.250
V1 0.125 0.875 0.250
V2 0.875 0.125 0.750
As1 0.113 0.363 0.750
As2 0.363 0.113 0.250
As3 0.637 0.887 0.750
As4 0.887 0.637 0.250

Summary:
ΔH_f (0 K) = -409 meV/atom
E above lowest polymorph = 98 meV per atom
Fermi-level density of states = 14.04 states/eV/cell
Calculated total energy = -7.835 eV/atom



Please write out number 1 again, unchanged.
VASP calculation (PBE) on a relaxed CdCuSbO4 crystal.

Cell: 5.675 5.675 6.815 Å, 90.00 90.00 114.75°
Positions (direct):
Cd1 0.000 0.000 0.000
Cd2 0.000 0.000 0.500
Cu1 0.312 0.688 0.750
Cu2 0.688 0.312 0.250
Sb1 0.356 0.644 0.250
Sb2 0.644 0.356 0.750
O1 0.245 0.755 0.014
O2 0.245 0.755 0.486
O3 0.257 0.271 0.250
O4 0.271 0.257 0.750
O5 0.729 0.743 0.250
O6 0.743 0.729 0.750
O7 0.755 0.245 0.514
O8 0.755 0.245 0.986

Summary:
Formation energy from raw total energies = -22.2 kcal/mol of atoms
Fermi-level density of states = 4.78 states/eV/cell
Calculated total energy = -5.100 eV/atom



> Which value of Fermi-level density of states does entry 1 give?

4.78 states/eV/cell



> Number 1 is which compound?

CdCuSbO4



> What is the formula in the first record?

CdCuSbO4